Te3Au after structural relaxation, computed with GGA-PBE.

POSCAR file:
```
Te3Au
1.0
8.301 0.000 0.000
-4.151 7.189 0.000
0.000 0.000 7.609
Te Au
12 4
Direct
0.000 0.500 0.000 Te
0.000 0.500 0.500 Te
0.156 0.313 0.250 Te
0.156 0.844 0.250 Te
0.313 0.156 0.750 Te
0.500 0.000 0.000 Te
0.500 0.000 0.500 Te
0.500 0.500 0.000 Te
0.500 0.500 0.500 Te
0.687 0.844 0.250 Te
0.844 0.156 0.750 Te
0.844 0.687 0.750 Te
0.000 0.000 0.000 Au
0.000 0.000 0.500 Au
0.333 0.667 0.750 Au
0.667 0.333 0.250 Au
```

Calculated values
- calculated volume (A^3/atom) = 28.38
- VASP energy (eV per atom) = -3.063
- total moment (μB per formula unit) = 0.000
- ΔE_f (raw) (eV per atom) = 0.11
- space-group type = No. 194

Te3Au after structural relaxation, computed with GGA-PBE.

POSCAR file:
```
Te3Au
1.0
4.301 0.000 0.000
0.000 4.301 0.000
0.000 0.000 6.149
Te Au
3 1
Direct
0.000 0.000 0.000 Te
0.000 0.000 0.500 Te
0.500 0.500 0.000 Te
0.500 0.500 0.500 Au
```

Calculated values
- calculated volume (A^3/atom) = 28.43
- VASP energy (eV per atom) = -3.115
- total moment (μB per formula unit) = 0.000
- ΔE_f (raw) (eV per atom) = 0.06
- space-group type = No. 123

Te3Au after structural relaxation, computed with GGA-PBE.

POSCAR file:
```
Te3Au
1.0
4.383 -7.550 0.000
4.383 7.550 0.000
0.000 0.000 4.407
Te Au
6 2
Direct
0.029 0.391 0.750 Te
0.072 0.928 0.750 Te
0.391 0.029 0.250 Te
0.609 0.971 0.750 Te
0.928 0.072 0.250 Te
0.971 0.609 0.250 Te
0.357 0.643 0.750 Au
0.643 0.357 0.250 Au
```

Calculated values
- calculated volume (A^3/atom) = 36.46
- VASP energy (eV per atom) = -3.047
- total moment (μB per formula unit) = 0.000
- ΔE_f (raw) (eV per atom) = 0.13
- space-group type = No. 63

Question: Which value of ΔE_f (raw) does entry 3 give?
Answer: 0.13 eV per atom

Question: Which value of total moment does entry 1 give?
Answer: 0.000 μB per formula unit